1.
# TmZr2Ga PBE-GGA relaxed
data_TmZr2Ga
_chemical_formula_sum 'Tm1 Zr2 Ga1'
_cell_length_a 3.305
_cell_length_b 3.305
_cell_length_c 9.989
_cell_angle_alpha 80.48
_cell_angle_beta 80.48
_cell_angle_gamma 60.00
_space_group_name_H-M_alt 'P 1'
_space_group_IT_number 1
_space_group_name_Hall 'P 1'
loop_
_atom_site_label
_atom_site_fract_x
_atom_site_fract_y
_atom_site_fract_z
_atom_site_occupancy
Tm1 0.500 0.500 0.501 1
Zr1 0.076 0.076 0.771 1
Zr2 0.257 0.257 0.228 1
Ga1 0.667 0.667 0.000 1
# polymorph energy (0 for the lowest one): 0.223 eV/atom
# space group: R3m, No. 160

***

2.
# UGa2 PBE-GGA relaxed
data_UGa2
_chemical_formula_sum 'U1 Ga2'
_cell_length_a 2.768
_cell_length_b 2.768
_cell_length_c 7.468
_cell_angle_alpha 100.68
_cell_angle_beta 100.68
_cell_angle_gamma 90.00
_space_group_name_H-M_alt 'P 1'
_space_group_IT_number 1
_space_group_name_Hall 'P 1'
loop_
_atom_site_label
_atom_site_fract_x
_atom_site_fract_y
_atom_site_fract_z
_atom_site_occupancy
U1 0.000 0.000 0.000 1
Ga1 0.668 0.668 0.336 1
Ga2 0.332 0.332 0.664 1
# space group: I4/mmm, No. 139

***

3.
# U3Ga PBE-GGA relaxed
data_U3Ga
_chemical_formula_sum 'U3 Ga1'
_cell_length_a 4.338
_cell_length_b 4.338
_cell_length_c 5.203
_cell_angle_alpha 114.63
_cell_angle_beta 114.63
_cell_angle_gamma 90.00
_space_group_name_H-M_alt 'P 1'
_space_group_IT_number 1
_space_group_name_Hall 'P 1'
loop_
_atom_site_label
_atom_site_fract_x
_atom_site_fract_y
_atom_site_fract_z
_atom_site_occupancy
U1 0.750 0.250 0.500 1
U2 0.250 0.750 0.500 1
U3 0.500 0.500 0.000 1
Ga1 0.000 0.000 0.000 1
# space group: I4/mmm, No. 139

***

4.
# U3Ga PBE-GGA relaxed
data_U3Ga
_chemical_formula_sum 'U6 Ga2'
_cell_length_a 6.112
_cell_length_b 6.112
_cell_length_c 4.892
_cell_angle_alpha 90.00
_cell_angle_beta 90.00
_cell_angle_gamma 60.00
_space_group_name_H-M_alt 'P 1'
_space_group_IT_number 1
_space_group_name_Hall 'P 1'
loop_
_atom_site_label
_atom_site_fract_x
_atom_site_fract_y
_atom_site_fract_z
_atom_site_occupancy
U1 0.334 0.833 0.750 1
U2 0.833 0.833 0.750 1
U3 0.833 0.334 0.750 1
U4 0.666 0.167 0.250 1
U5 0.167 0.167 0.250 1
U6 0.167 0.666 0.250 1
Ga1 0.667 0.667 0.250 1
Ga2 0.333 0.333 0.750 1
# space group: P6_3/mmc, No. 194

***

5.
# UGa PBE-GGA relaxed
data_UGa
_chemical_formula_sum 'U2 Ga2'
_cell_length_a 3.700
_cell_length_b 4.829
_cell_length_c 5.406
_cell_angle_alpha 116.53
_cell_angle_beta 90.00
_cell_angle_gamma 90.00
_space_group_name_H-M_alt 'P 1'
_space_group_IT_number 1
_space_group_name_Hall 'P 1'
loop_
_atom_site_label
_atom_site_fract_x
_atom_site_fract_y
_atom_site_fract_z
_atom_site_occupancy
U1 0.750 0.089 0.178 1
U2 0.250 0.911 0.822 1
Ga1 0.750 0.399 0.798 1
Ga2 0.250 0.601 0.202 1
# space group: Cmcm, No. 63

***

6.
# UGa2 PBE-GGA relaxed
data_UGa2
_chemical_formula_sum 'U1 Ga2'
_cell_length_a 4.232
_cell_length_b 4.232
_cell_length_c 3.986
_cell_angle_alpha 90.00
_cell_angle_beta 90.00
_cell_angle_gamma 120.00
_space_group_name_H-M_alt 'P 1'
_space_group_IT_number 1
_space_group_name_Hall 'P 1'
loop_
_atom_site_label
_atom_site_fract_x
_atom_site_fract_y
_atom_site_fract_z
_atom_site_occupancy
U1 0.000 0.000 0.000 1
Ga1 0.333 0.667 0.500 1
Ga2 0.667 0.333 0.500 1
# space group: P6/mmm, No. 191

***

Formation enthalpy at 0 K list, top to bottom, in eV/atom: -0.083 0.008 -0.006 0.072 -0.061 -0.070
N(E_F) list, top to bottom, in states/eV/f.u.: 4.53 3.53 9.69 10.46 6.28 8.75
DFT total energy list, top to bottom, in eV/cell: -24.925 -17.318 -36.916 -73.208 -28.874 -17.551